Record 1
Below is CeNd3Y6Ho2 after structural relaxation, with properties calculated at the PBE-GGA level.

Summary:
**ΔH_f (0 K)**: 0.03 eV/atom
**Total energy**: -5.65 eV per atom

Cell: 6.2277 6.2277 11.8604 Å, 95.01 95.01 119.99°
Atoms (fractional coordinates):
Ce: 0.0000 0.0000 0.0000
Nd: 0.1676 0.8324 0.5000
Nd: 0.5000 0.5000 0.5000
Nd: 0.8324 0.1676 0.5000
Y: 0.0823 0.4135 0.2463
Y: 0.2491 0.2491 0.7536
Y: 0.4135 0.0823 0.2463
Y: 0.5865 0.9177 0.7537
Y: 0.7509 0.7509 0.2464
Y: 0.9177 0.5865 0.7537
Ho: 0.3333 0.6667 0.0000
Ho: 0.6667 0.3333 0.0000


Record 2
Below is Rb2GeI6Br after structural relaxation, with properties calculated at the PBE-GGA level.

Summary:
**Total energy**: -2.37 eV per atom

Cell: 8.4741 8.4741 8.4741 Å, 118.70 118.70 92.27°
Atoms (fractional coordinates):
Rb: 0.2500 0.7500 0.5000
Rb: 0.7500 0.2500 0.5000
Ge: 0.0000 0.0000 0.0000
I: 0.2302 0.2302 0.4603
I: 0.2302 0.7698 0.0000
I: 0.2402 0.2402 0.0000
I: 0.7598 0.7598 0.0000
I: 0.7698 0.2302 0.0000
I: 0.7698 0.7698 0.5397
Br: 0.5000 0.5000 0.0000


Record 3
Below is Na2AcAsO4 after structural relaxation, with properties calculated at the PBE-GGA level.

Summary:
**Total energy**: -5.69 eV per atom

Cell: 5.5711 5.5711 5.5711 Å, 115.55 115.55 97.90°
Atoms (fractional coordinates):
Na: 0.0000 0.0000 0.0000
Na: 0.7500 0.2500 0.5000
Ac: 0.5000 0.5000 0.0000
As: 0.2500 0.7500 0.5000
O: 0.1032 0.0623 0.4910
O: 0.3878 0.8968 0.9592
O: 0.5713 0.6122 0.5090
O: 0.9377 0.4287 0.0408


Record 4
Below is SrBe3 after structural relaxation, with properties calculated at the PBE-GGA level.

Summary:
**ΔH_f (0 K)**: 1.08 eV/atom
**ΔE to the lowest computed polymorph**: 0.941 eV per atom
**Total energy**: -2.14 eV per atom

Cell: 4.2347 4.2347 4.2347 Å, 90.00 90.00 90.00°
Atoms (fractional coordinates):
Sr: 0.0000 0.0000 0.0000
Be: 0.0000 0.5000 0.5000
Be: 0.5000 0.0000 0.5000
Be: 0.5000 0.5000 0.0000


> total energy of number 3 (Na2AcAsO4)?

-5.69 eV per atom


> Which formula does entry 3 have?

Na2AcAsO4


> What is the formula in the second record?

Rb2GeI6Br